1.
# BaTc2Os, optimized geometry, DFT PBE-GGA
# E above lowest polymorph (meV/atom): 416.7
# Final energy (Ha/atom): -0.2700
# Calculated formation energy (eV/atom): 1.125
# V (Å³/atom): 23.2
# Magnetic moment (μB per formula unit): 0.00
# Crystal system: tetragonal
# SG: I-42d
data_BaTc2Os
_chemical_formula_sum 'Ba2 Tc4 Os2'
_space_group_name_H-M_alt 'P 1'
_space_group_IT_number 1
_cell_length_a 7.571
_cell_length_b 7.571
_cell_length_c 6.258
_cell_angle_alpha 52.78
_cell_angle_beta 52.78
_cell_angle_gamma 90.00
loop_
_space_group_symop_operation_xyz
'x,y,z'
loop_
_atom_site_label
_atom_site_type_symbol
_atom_site_fract_x
_atom_site_fract_y
_atom_site_fract_z
_atom_site_occupancy
Tc1 Tc 0.375 0.293 0.750 1
Tc2 Tc 0.707 0.125 0.250 1
Tc3 Tc 0.875 0.957 0.750 1
Tc4 Tc 0.043 0.625 0.250 1
Ba1 Ba 0.250 0.750 0.500 1
Ba2 Ba 0.500 0.500 0.000 1
Os1 Os 0.750 0.250 0.500 1
Os2 Os 0.000 0.000 0.000 1

---

2.
# LiPbSe2O6, optimized geometry, DFT PBE-GGA
# Final energy (Ha/atom): -0.1929
# V (Å³/atom): 14.9
# Magnetic moment (μB per formula unit): 0.00
# Crystal system: trigonal
# E_form (uncorrected) (meV/atom): -1014
# SG: R-3
data_LiPbSe2O6
_chemical_formula_sum 'Li1 Pb1 Se2 O6'
_space_group_name_H-M_alt 'P 1'
_space_group_IT_number 1
_cell_length_a 5.401
_cell_length_b 5.401
_cell_length_c 6.669
_cell_angle_alpha 66.11
_cell_angle_beta 66.11
_cell_angle_gamma 60.00
loop_
_space_group_symop_operation_xyz
'x,y,z'
loop_
_atom_site_label
_atom_site_type_symbol
_atom_site_fract_x
_atom_site_fract_y
_atom_site_fract_z
_atom_site_occupancy
Li1 Li 0.500 0.500 0.500 1
Se1 Se 0.207 0.207 0.379 1
Se2 Se 0.793 0.793 0.621 1
O1 O 0.062 0.474 0.735 1
O2 O 0.526 0.271 0.265 1
O3 O 0.938 0.526 0.265 1
O4 O 0.474 0.729 0.735 1
O5 O 0.729 0.062 0.735 1
O6 O 0.271 0.938 0.265 1
Pb1 Pb 0.000 0.000 0.000 1

---

3.
# Ti6NbPd8, optimized geometry, DFT PBE-GGA
# Final energy (Ha/atom): -0.2517
# Calculated formation energy (eV/atom): -0.251
# V (Å³/atom): 16.7
# Magnetic moment (μB per formula unit): 0.01
# Crystal system: trigonal
# SG: P-3
data_Ti6NbPd8
_chemical_formula_sum 'Ti6 Nb1 Pd8'
_space_group_name_H-M_alt 'P 1'
_space_group_IT_number 1
_cell_length_a 2.846
_cell_length_b 10.082
_cell_length_c 10.082
_cell_angle_alpha 120.00
_cell_angle_beta 90.00
_cell_angle_gamma 90.00
loop_
_space_group_symop_operation_xyz
'x,y,z'
loop_
_atom_site_label
_atom_site_type_symbol
_atom_site_fract_x
_atom_site_fract_y
_atom_site_fract_z
_atom_site_occupancy
Ti1 Ti 0.726 0.370 0.902 1
Ti2 Ti 0.726 0.532 0.630 1
Ti3 Ti 0.726 0.098 0.468 1
Ti4 Ti 0.274 0.630 0.098 1
Ti5 Ti 0.274 0.468 0.370 1
Ti6 Ti 0.274 0.902 0.532 1
Pd1 Pd 0.776 0.667 0.333 1
Pd2 Pd 0.811 0.708 0.920 1
Pd3 Pd 0.224 0.333 0.667 1
Pd4 Pd 0.811 0.212 0.292 1
Pd5 Pd 0.189 0.920 0.212 1
Pd6 Pd 0.189 0.292 0.080 1
Pd7 Pd 0.811 0.080 0.788 1
Pd8 Pd 0.189 0.788 0.708 1
Nb1 Nb 0.500 0.000 0.000 1

---

The calculation returns the following D(E_F) values, one per record and in order: 8.14, 4.95, 19.84 states/eV per cell.